(1)
The following is a GGA-PBE calculation of a geometry-optimized Rb3As2I9 structure, from Alexandria.

Cell: 8.2458 8.2458 20.9448 Å, 90.00 90.00 120.00°
Closest atoms and distances in Å follow each position.
Fractional coordinates of all 28 atoms:
Rb: 0.0000 0.0000 0.2500  12 I 4.12-4.20
Rb: 0.0000 0.0000 0.7500  12 I 4.12-4.20
Rb: 0.3333 0.6667 0.0689  9 I 4.01-4.14
Rb: 0.3333 0.6667 0.4311  9 I 4.01-4.14
Rb: 0.6667 0.3333 0.5689  9 I 4.01-4.14
Rb: 0.6667 0.3333 0.9311  9 I 4.01-4.14
As: 0.3333 0.6667 0.6582  6 I 2.77-3.03
As: 0.3333 0.6667 0.8418  6 I 2.77-3.03
As: 0.6667 0.3333 0.1582  6 I 2.77-3.03
As: 0.6667 0.3333 0.3418  6 I 2.77-3.03
I: 0.0052 0.5026 0.7500  2 As 3.03
I: 0.1700 0.3401 0.5866  1 As 2.77
I: 0.1700 0.3401 0.9134  1 As 2.77
I: 0.1700 0.8300 0.5866  1 As 2.77
I: 0.1700 0.8300 0.9134  1 As 2.77
I: 0.3401 0.1700 0.0866  1 As 2.77
I: 0.3401 0.1700 0.4134  1 As 2.77
I: 0.4974 0.5026 0.7500  2 As 3.03
I: 0.4974 0.9948 0.7500  2 As 3.03
I: 0.5026 0.0052 0.2500  2 As 3.03
I: 0.5026 0.4974 0.2500  2 As 3.03
I: 0.6599 0.8300 0.5866  1 As 2.77
I: 0.6599 0.8300 0.9134  1 As 2.77
I: 0.8300 0.1700 0.0866  1 As 2.77
I: 0.8300 0.1700 0.4134  1 As 2.77
I: 0.8300 0.6599 0.0866  1 As 2.77
I: 0.8300 0.6599 0.4134  1 As 2.77
I: 0.9948 0.4974 0.2500  2 As 3.03

Properties
uncorrected formation energy: -0.76 eV per atom
magnetization: 0.000 μB per atom
DOS at the Fermi energy: 0.00 states/eV/cell


(2)
The following is a GGA-PBE calculation of a geometry-optimized NaVSeS structure, from Alexandria.

Cell: 7.1164 7.1164 7.1164 Å, 29.88 29.88 29.88°
Closest atoms and distances in Å follow each position.
Fractional coordinates of all 4 atoms:
Na: 0.0000 0.0000 0.0000  3 S 2.86, 3 Se 3.01
V: 0.8224 0.8224 0.8224  3 S 2.46, 3 Se 2.59
Se: 0.2285 0.2285 0.2285  3 V 2.59
S: 0.4274 0.4274 0.4274  3 V 2.46

Properties
uncorrected formation energy: -0.92 eV per atom
magnetization: 0.500 μB per atom
DOS at the Fermi energy: 4.98 states/eV/cell


(3)
The following is a GGA-PBE calculation of a geometry-optimized Pr3CuSiSe7 structure, from Alexandria.

Cell: 10.7116 10.7116 6.1115 Å, 90.00 90.00 120.00°
Closest atoms and distances in Å follow each position.
Fractional coordinates of all 24 atoms:
Pr: 0.1264 0.3553 0.0000  8 Se 2.98-3.29
Pr: 0.2289 0.8736 0.0000  8 Se 2.98-3.29
Pr: 0.3553 0.2289 0.5000  8 Se 2.98-3.29
Pr: 0.6447 0.7711 0.0000  8 Se 2.98-3.29
Pr: 0.7711 0.1264 0.5000  8 Se 2.98-3.29
Pr: 0.8736 0.6447 0.5000  8 Se 2.98-3.29
Cu: 0.0000 0.0000 0.4761  3 Se 2.39
Cu: 0.0000 0.0000 0.9761  3 Se 2.39
Si: 0.3333 0.6667 0.5871  4 Se 2.27-2.31
Si: 0.6667 0.3333 0.0871  4 Se 2.27-2.31
Se: 0.0901 0.2545 0.4850  1 Cu 2.39
Se: 0.1073 0.5851 0.7354  1 Si 2.31
Se: 0.1643 0.9099 0.4850  1 Cu 2.39
Se: 0.2545 0.1643 0.9850  1 Cu 2.39
Se: 0.3333 0.6667 0.2157  1 Si 2.27
Se: 0.4149 0.5223 0.7354  1 Si 2.31
Se: 0.4777 0.8927 0.7354  1 Si 2.31
Se: 0.5223 0.1073 0.2354  1 Si 2.31
Se: 0.5851 0.4777 0.2354  1 Si 2.31
Se: 0.6667 0.3333 0.7157  1 Si 2.27
Se: 0.7455 0.8357 0.4850  1 Cu 2.39
Se: 0.8357 0.0901 0.9850  1 Cu 2.39
Se: 0.8927 0.4149 0.2354  1 Si 2.31
Se: 0.9099 0.7455 0.9850  1 Cu 2.39

Properties
uncorrected formation energy: -1.37 eV per atom
magnetization: 0.000 μB per atom


(4)
The following is a GGA-PBE calculation of a geometry-optimized RbCdRu2F structure, from Alexandria.

Cell: 5.0369 5.0369 7.6685 Å, 90.00 90.00 90.00°
Closest atoms and distances in Å follow each position.
Fractional coordinates of all 5 atoms:
Rb: 0.0000 0.0000 0.0000  4 F 3.56, 2 Cd 3.83
Cd: 0.0000 0.0000 0.5000  4 Ru 2.52
Ru: 0.0000 0.5000 0.5000  2 Cd 2.52
Ru: 0.5000 0.0000 0.5000  2 Cd 2.52
F: 0.5000 0.5000 0.0000  4 Rb 3.56

Properties
uncorrected formation energy: 1.10 eV per atom
magnetization: 0.939 μB per atom
DOS at the Fermi energy: 5.95 states/eV/cell


(5)
The following is a GGA-PBE calculation of a geometry-optimized Ca4Ru6O19 structure, from Alexandria.

Cell: 7.9229 7.9229 7.9229 Å, 109.47 109.47 109.47°
Closest atoms and distances in Å follow each position.
Fractional coordinates of all 29 atoms:
Ca: 0.0000 0.0000 0.2872  4 O 2.28-2.42
Ca: 0.0000 0.2872 0.0000  4 O 2.28-2.42
Ca: 0.2872 0.0000 0.0000  4 O 2.28-2.42
Ca: 0.7128 0.7128 0.7128  4 O 2.28-2.42
Ru: 0.1673 0.5000 0.6673  6 O 1.94-1.97
Ru: 0.3327 0.8327 0.5000  6 O 1.94-1.97
Ru: 0.5000 0.3327 0.8327  6 O 1.94-1.97
Ru: 0.5000 0.6673 0.1673  6 O 1.94-1.97
Ru: 0.6673 0.1673 0.5000  6 O 1.94-1.97
Ru: 0.8327 0.5000 0.3327  6 O 1.94-1.97
O: 0.0000 0.0000 0.0000  4 Ca 2.28
O: 0.0000 0.3672 0.3672  2 Ru 1.95
O: 0.0000 0.6328 0.6328  2 Ru 1.95
O: 0.0391 0.7279 0.3384  2 Ru 1.94-1.97
O: 0.2721 0.3113 0.6105  2 Ru 1.94-1.97
O: 0.2993 0.6887 0.9609  2 Ru 1.94-1.97
O: 0.3113 0.6105 0.2721  2 Ru 1.94-1.97
O: 0.3384 0.0391 0.7279  2 Ru 1.94-1.97
O: 0.3672 0.0000 0.3672  2 Ru 1.95
O: 0.3672 0.3672 0.0000  2 Ru 1.95
O: 0.3895 0.7007 0.6616  2 Ru 1.94-1.97
O: 0.6105 0.2721 0.3113  2 Ru 1.94-1.97
O: 0.6328 0.0000 0.6328  2 Ru 1.95
O: 0.6328 0.6328 0.0000  2 Ru 1.95
O: 0.6616 0.3895 0.7007  2 Ru 1.94-1.97
O: 0.6887 0.9609 0.2993  2 Ru 1.94-1.97
O: 0.7007 0.6616 0.3895  2 Ru 1.94-1.97
O: 0.7279 0.3384 0.0391  2 Ru 1.94-1.97
O: 0.9609 0.2993 0.6887  2 Ru 1.94-1.97

Properties
uncorrected formation energy: -1.49 eV per atom
magnetization: 0.000 μB per atom
DOS at the Fermi energy: 19.17 states/eV/cell


(6)
The following is a GGA-PBE calculation of a geometry-optimized LaZn4Rh structure, from Alexandria.

Cell: 7.3094 7.3094 6.8654 Å, 90.00 90.00 141.42°
Closest atoms and distances in Å follow each position.
Fractional coordinates of all 12 atoms:
La: 0.1099 0.8901 0.7500  11 Zn 2.98-3.33
La: 0.8901 0.1099 0.2500  11 Zn 2.98-3.33
Zn: 0.1064 0.8936 0.2500  2 Rh 2.45, 2 Zn 2.65
Zn: 0.2770 0.7230 0.0724  4 Zn 2.44-2.72, 1 Rh 2.52
Zn: 0.2770 0.7230 0.4276  4 Zn 2.44-2.72, 1 Rh 2.52
Zn: 0.5000 0.5000 0.0000  2 Rh 2.55
Zn: 0.5000 0.5000 0.5000  2 Rh 2.55
Zn: 0.7230 0.2770 0.5724  4 Zn 2.44-2.72, 1 Rh 2.52
Zn: 0.7230 0.2770 0.9276  4 Zn 2.44-2.72, 1 Rh 2.52
Zn: 0.8936 0.1064 0.7500  2 Rh 2.45, 2 Zn 2.65
Rh: 0.3636 0.6364 0.7500  6 Zn 2.45-2.55
Rh: 0.6364 0.3636 0.2500  6 Zn 2.45-2.55

Properties
magnetization: 0.000 μB per atom
DOS at the Fermi energy: 5.14 states/eV/cell
offset from the most stable computed form: 49 meV/atom


no.,calculated total energy (eV per atom)
1,-2.628
2,-5.435
3,-5.391
4,-3.357
5,-6.933
6,-3.216